Below is ZnC2 after structural relaxation, with properties calculated at the PBE level.

Space-group type: C2/m
Formation enthalpy at 0 K: 432 meV/atom
ΔE to the lowest computed polymorph: 301.8 meV/atom
Calculated density: 4.29 Mg/m³

Unit cell a=6.053 b=6.053 c=4.934 alpha=108.79 beta=108.79 gamma=23.93
Positions (direct):
1 Zn 0.225 0.225 0.201
2 Zn 0.775 0.775 0.799
3 C 0.103 0.103 0.407
4 C 0.448 0.448 0.548
5 C 0.552 0.552 0.452
6 C 0.897 0.897 0.593


Below is Zn7C after structural relaxation, with properties calculated at the PBE level.

Space-group type: Fm-3m
Formation enthalpy at 0 K: 569 meV/atom
Calculated density: 6.98 Mg/m³

Unit cell a=5.407 b=5.407 c=5.407 alpha=60.00 beta=60.00 gamma=60.00
Positions (direct):
1 Zn 0.000 0.000 0.000
2 Zn 0.000 0.000 0.500
3 Zn 0.000 0.500 0.000
4 Zn 0.000 0.500 0.500
5 Zn 0.500 0.000 0.000
6 Zn 0.500 0.000 0.500
7 Zn 0.500 0.500 0.000
8 C 0.500 0.500 0.500


Below is ZnC after structural relaxation, with properties calculated at the PBE level.

Space-group type: Cm
Formation enthalpy at 0 K: 734 meV/atom
ΔE to the lowest computed polymorph: 651.7 meV/atom
Calculated density: 5.26 Mg/m³

Unit cell a=5.368 b=5.368 c=7.530 alpha=130.58 beta=130.58 gamma=27.03
Positions (direct):
1 Zn 0.000 0.000 0.000
2 Zn 0.637 0.637 0.462
3 Zn 0.800 0.800 0.124
4 C 0.368 0.368 0.681
5 C 0.446 0.446 0.581
6 C 0.975 0.975 0.517


Below is ZnC after structural relaxation, with properties calculated at the PBE level.

Space-group type: Cm
Formation enthalpy at 0 K: 821 meV/atom
ΔE to the lowest computed polymorph: 739.3 meV/atom
Calculated density: 4.96 Mg/m³

Unit cell a=3.774 b=3.774 c=6.840 alpha=96.78 beta=96.78 gamma=53.64
Positions (direct):
1 Zn 0.000 0.000 0.000
2 Zn 0.259 0.259 0.787
3 Zn 0.534 0.534 0.506
4 C 0.567 0.567 0.820
5 C 0.807 0.807 0.400
6 C 0.916 0.916 0.263


Below is Zn2C after structural relaxation, with properties calculated at the PBE level.

Space-group type: R3m
Formation enthalpy at 0 K: 1128 meV/atom
ΔE to the lowest computed polymorph: 504.3 meV/atom
Calculated density: 6.12 Mg/m³

Unit cell a=4.856 b=4.856 c=4.856 alpha=37.90 beta=37.90 gamma=37.90
Positions (direct):
1 Zn 0.000 0.000 0.000
2 Zn 0.180 0.180 0.180
3 C 0.759 0.759 0.759


Below is ZnC2 after structural relaxation, with properties calculated at the PBE level.

Space-group type: C2/m
Formation enthalpy at 0 K: 941 meV/atom
ΔE to the lowest computed polymorph: 811.1 meV/atom
Calculated density: 2.53 Mg/m³

Unit cell a=4.576 b=4.576 c=7.967 alpha=90.10 beta=90.10 gamma=44.66
Positions (direct):
1 Zn 0.091 0.091 0.249
2 Zn 0.909 0.909 0.751
3 C 0.321 0.321 0.249
4 C 0.469 0.469 0.249
5 C 0.531 0.531 0.751
6 C 0.679 0.679 0.751